CsCd2Rh2 after structural relaxation. Source: Alexandria, functional PBE.

Cell: 8.2905 8.2905 3.1839 Å, 90.00 90.00 90.00°
Last column: nearest neighbours and their distance in Å.
Sites, in units of the cell vectors:
Cs  0.0000  0.0000  0.0000  2 Cs 3.18, 4 Rh 3.29, 8 Cd 3.49
Cs  0.5000  0.5000  0.0000  2 Cs 3.18, 4 Rh 3.29, 8 Cd 3.49
Cd  0.1616  0.3384  0.5000  6 Rh 2.86-2.99, 2 Cd 3.18
Cd  0.3384  0.8384  0.5000  6 Rh 2.86-2.99, 2 Cd 3.18
Cd  0.6616  0.1616  0.5000  6 Rh 2.86-2.99, 2 Cd 3.18
Cd  0.8384  0.6616  0.5000  6 Rh 2.86-2.99, 2 Cd 3.18
Rh  0.1226  0.6226  0.0000  6 Cd 2.86-2.99, 3 Rh 2.87-3.18
Rh  0.3774  0.1226  0.0000  6 Cd 2.86-2.99, 3 Rh 2.87-3.18
Rh  0.6226  0.8774  0.0000  6 Cd 2.86-2.99, 3 Rh 2.87-3.18
Rh  0.8774  0.3774  0.0000  6 Cd 2.86-2.99, 3 Rh 2.87-3.18

**Energy of formation from the pure elements**: 1.33 eV per formula unit
**Crystal system**: tetragonal
**Volume**: 21.88 Å³/atom
**N(E_F)**: 9.2 states/eV per cell
**Electronic total energy**: -3.211 eV per atom
**Symmetry**: P4/mbm, No. 127

CaTm2InRh4 after structural relaxation. Source: Alexandria, functional PBE.

Cell: 8.1944 8.1944 8.1944 Å, 33.53 33.53 33.53°
Last column: nearest neighbours and their distance in Å.
Sites, in units of the cell vectors:
Ca  0.0000  0.0000  0.0000  8 Rh 2.92-2.95
Tm  0.2473  0.2473  0.2473  8 Rh 2.78-3.04
Tm  0.7527  0.7527  0.7527  8 Rh 2.78-3.04
In  0.5000  0.5000  0.5000  8 Rh 2.82-2.88
Rh  0.1272  0.1272  0.1272  4 Tm 2.78-2.89, 3 In 2.88, 1 Ca 2.95
Rh  0.3784  0.3784  0.3784  1 In 2.82, 4 Tm 2.89-3.04, 3 Ca 2.92
Rh  0.6216  0.6216  0.6216  1 In 2.82, 4 Tm 2.89-3.04, 3 Ca 2.92
Rh  0.8728  0.8728  0.8728  4 Tm 2.78-2.89, 3 In 2.88, 1 Ca 2.95

**Energy of formation from the pure elements**: -5.76 eV per formula unit
**Crystal system**: trigonal
**Volume**: 18.70 Å³/atom
**N(E_F)**: 5.1 states/eV per cell
**Electronic total energy**: -6.106 eV per atom
**Symmetry**: R-3m, No. 166

LaCuBi2 after structural relaxation. Source: Alexandria, functional PBE.

Cell: 5.3982 5.3982 5.3982 Å, 60.00 60.00 60.00°
Last column: nearest neighbours and their distance in Å.
Sites, in units of the cell vectors:
La  0.0000  0.0000  0.0000  8 Bi 3.31
Cu  0.5000  0.5000  0.5000  8 Bi 3.31
Bi  0.2500  0.2500  0.2500  4 La 3.31, 4 Cu 3.31
Bi  0.7500  0.7500  0.7500  4 La 3.31, 4 Cu 3.31

**Energy of formation from the pure elements**: -0.49 eV per formula unit
**Crystal system**: cubic
**Volume**: 27.81 Å³/atom
**N(E_F)**: 8.2 states/eV per cell
**Electronic total energy**: -4.319 eV per atom
**Symmetry**: Fm-3m, No. 225

Si2P after structural relaxation. Source: Alexandria, functional PBE.

Cell: 5.2866 5.2866 6.8240 Å, 104.00 104.00 40.45°
Last column: nearest neighbours and their distance in Å.
Sites, in units of the cell vectors:
Si  0.0000  0.0000  0.0000  2 P 2.31, 2 Si 2.37-2.42
Si  0.0022  0.0022  0.6535  2 P 2.26, 2 Si 2.37-2.39
Si  0.2367  0.2367  0.2128  1 P 2.30, 3 Si 2.34-2.42
Si  0.7717  0.7717  0.4344  1 P 2.24, 3 Si 2.34-2.39
P  0.3532  0.3532  0.9616  3 Si 2.30-2.31
P  0.5617  0.5617  0.4986  3 Si 2.24-2.26

**ΔE_f (raw)**: 0.0505 eV/atom
**Crystal system**: monoclinic
**Volume**: 19.93 Å³/atom
**Electronic total energy**: -5.368 eV per atom
**Symmetry**: Cm, No. 8

HfGaHgIr2 after structural relaxation. Source: Alexandria, functional PBE.

Cell: 4.5703 4.5703 4.9459 Å, 90.00 90.00 90.00°
Last column: nearest neighbours and their distance in Å.
Sites, in units of the cell vectors:
Hf  0.0000  0.0000  0.0000  2 Ga 2.47
Ga  0.0000  0.0000  0.5000  4 Ir 2.29, 2 Hf 2.47
Hg  0.5000  0.5000  0.0000  4 Hf 3.23, 8 Ir 3.37
Ir  0.0000  0.5000  0.5000  2 Ga 2.29
Ir  0.5000  0.0000  0.5000  2 Ga 2.29

**Energy of formation from the pure elements**: 4.16 eV per formula unit
**Crystal system**: tetragonal
**Volume**: 20.66 Å³/atom
**N(E_F)**: 6.1 states/eV per cell
**Electronic total energy**: -5.368 eV per atom
**Symmetry**: P4/mmm, No. 123

MgZn3Au2 after structural relaxation. Source: Alexandria, functional PBE.

Cell: 7.8684 7.8684 8.8506 Å, 124.20 124.20 28.89°
Last column: nearest neighbours and their distance in Å.
Sites, in units of the cell vectors:
Mg  0.1283  0.1283  0.1271  6 Au 2.86-2.89, 2 Zn 2.95-2.97, 1 Mg 3.19
Mg  0.8717  0.8717  0.8729  6 Au 2.86-2.89, 2 Zn 2.95-2.97, 1 Mg 3.19
Zn  0.0014  0.0014  0.3573  1 Zn 2.55, 4 Au 2.64-2.84
Zn  0.3169  0.3169  0.5188  3 Au 2.58-2.68, 2 Zn 2.71
Zn  0.3179  0.3179  0.1122  3 Au 2.58-2.68, 2 Zn 2.70
Zn  0.6821  0.6821  0.8878  3 Au 2.58-2.68, 2 Zn 2.70
Zn  0.6831  0.6831  0.4812  3 Au 2.58-2.68, 2 Zn 2.71
Zn  0.9986  0.9986  0.6427  1 Zn 2.55, 4 Au 2.64-2.84
Au  0.2039  0.2039  0.7062  7 Zn 2.68-2.95, 2 Mg 2.86
Au  0.4984  0.4984  0.8418  4 Zn 2.58-2.64, 1 Au 2.77, 2 Mg 2.88
Au  0.5016  0.5016  0.1582  4 Zn 2.58-2.64, 1 Au 2.77, 2 Mg 2.88
Au  0.7961  0.7961  0.2938  7 Zn 2.68-2.95, 2 Mg 2.86

**Energy of formation from the pure elements**: -1.55 eV per formula unit
**Crystal system**: monoclinic
**Volume**: 17.97 Å³/atom
**N(E_F)**: 3.5 states/eV per cell
**Electronic total energy**: -2.253 eV per atom
**Symmetry**: C2/m, No. 12

TbPm2Ga4 after structural relaxation. Source: Alexandria, functional PBE.

Cell: 9.7982 9.7982 9.7982 Å, 155.33 154.53 35.75°
Last column: nearest neighbours and their distance in Å.
Sites, in units of the cell vectors:
Tb  0.0000  0.0000  0.0000  12 Ga 3.24-3.42
Pm  0.1842  0.6842  0.5000  7 Ga 3.10-3.24
Pm  0.8158  0.3158  0.5000  7 Ga 3.10-3.24
Ga  0.3581  0.8581  0.5000  2 Ga 2.53
Ga  0.4347  0.4347  0.0000  3 Ga 2.44-2.53
Ga  0.5653  0.5653  0.0000  3 Ga 2.44-2.53
Ga  0.6419  0.1419  0.5000  2 Ga 2.53

**Energy of formation from the pure elements**: -4.36 eV per formula unit
**Crystal system**: orthorhombic
**Volume**: 24.08 Å³/atom
**N(E_F)**: 5.6 states/eV per cell
**Electronic total energy**: -4.371 eV per atom
**Symmetry**: Immm, No. 71

Sm4HoTm2Mg after structural relaxation. Source: Alexandria, functional PBE.

Cell: 5.0260 5.0260 9.8598 Å, 90.00 90.00 90.00°
Last column: nearest neighbours and their distance in Å.
Sites, in units of the cell vectors:
Sm  0.0000  0.5000  0.2461  2 Mg 3.49, 4 Tm 3.49-3.55, 2 Ho 3.55, 4 Sm 3.55
Sm  0.0000  0.5000  0.7539  2 Mg 3.49, 4 Tm 3.49-3.55, 2 Ho 3.55, 4 Sm 3.55
Sm  0.5000  0.0000  0.2461  2 Mg 3.49, 4 Tm 3.49-3.55, 2 Ho 3.55, 4 Sm 3.55
Sm  0.5000  0.0000  0.7539  2 Mg 3.49, 4 Tm 3.49-3.55, 2 Ho 3.55, 4 Sm 3.55
Ho  0.0000  0.0000  0.5000  8 Sm 3.55, 4 Tm 3.55
Tm  0.0000  0.0000  0.0000  8 Sm 3.49, 4 Mg 3.55
Tm  0.5000  0.5000  0.5000  8 Sm 3.55, 4 Ho 3.55
Mg  0.5000  0.5000  0.0000  8 Sm 3.49, 4 Tm 3.55

**Energy of formation from the pure elements**: 0.09 eV per formula unit
**Crystal system**: tetragonal
**Volume**: 31.13 Å³/atom
**N(E_F)**: 10.7 states/eV per cell
**Electronic total energy**: -4.238 eV per atom
**Symmetry**: P4/mmm, No. 123